1.
AlAsPt2: PBEsol geometry, SCAN.

Unit cell a=2.876 b=2.876 c=7.403 alpha=90.00 beta=90.00 gamma=90.00
Sites, in units of the cell vectors:
1 Pt 0.000 0.000 0.783
2 Pt 0.000 0.000 0.217
3 As 0.500 0.500 0.500
4 Al 0.500 0.500 0.000

Summary:
- Density: 13.35 g/cm3
- Energy of formation: -630 meV per atom

2.
Tl2InAg: PBEsol geometry, SCAN.

Unit cell a=3.245 b=5.450 c=6.088 alpha=110.05 beta=105.45 gamma=90.00
Sites, in units of the cell vectors:
1 Tl 0.992 0.977 0.984
2 Tl 0.777 0.293 0.554
3 In 0.221 0.750 0.441
4 Ag 0.511 0.480 0.021

Summary:
- Distance to the lowest polymorph of the same formula: 48 meV per atom
- Density: 10.81 g/cm3
- Energy of formation: 109 meV per atom

3.
MnSb2Au: PBEsol geometry, SCAN.

Unit cell a=3.837 b=4.091 c=5.499 alpha=90.00 beta=109.77 gamma=90.00
Sites, in units of the cell vectors:
1 Sb 0.603 0.500 0.336
2 Sb 0.895 0.000 0.911
3 Mn 0.341 0.500 0.798
4 Au 0.161 0.000 0.455

Summary:
- Distance to the lowest polymorph of the same formula: 0 meV per atom
- Density: 10.13 g/cm3
- Raw formation energy: -0.139 eV per atom

4.
Li2TeCl: PBEsol geometry, SCAN.

Unit cell a=3.429 b=3.429 c=7.162 alpha=90.00 beta=90.00 gamma=90.00
Sites, in units of the cell vectors:
1 Li 0.500 0.500 0.255
2 Li 0.000 0.000 0.852
3 Te 0.000 0.000 0.460
4 Cl 0.500 0.500 0.933

Summary:
- Distance to the lowest polymorph of the same formula: 3 meV per atom
- Density: 3.49 g/cm3
- Raw formation energy: -1.341 eV per atom

5.
Li2TaSi2: PBEsol geometry, SCAN.

Unit cell a=2.790 b=7.112 c=7.112 alpha=90.00 beta=90.00 gamma=90.00
Sites, in units of the cell vectors:
1 Ta 0.000 0.000 0.000
2 Ta 0.000 0.500 0.500
3 Li 0.500 0.631 0.869
4 Li 0.500 0.369 0.131
5 Li 0.500 0.131 0.631
6 Li 0.500 0.869 0.369
7 Si 0.000 0.832 0.668
8 Si 0.000 0.168 0.332
9 Si 0.000 0.332 0.832
10 Si 0.000 0.668 0.168

Summary:
- Density: 5.91 g/cm3
- Raw formation energy: 0.004 eV per atom

6.
CaSc2Pb: PBEsol geometry, SCAN.

Unit cell a=3.949 b=3.949 c=6.728 alpha=90.00 beta=90.00 gamma=90.00
Sites, in units of the cell vectors:
1 Sc 0.000 0.000 0.279
2 Sc 0.000 0.000 0.721
3 Ca 0.500 0.500 0.000
4 Pb 0.500 0.500 0.500

Summary:
- Density: 5.34 g/cm3
- Energy of formation: -188 meV per atom

7.
Ca2TeRh: PBEsol geometry, SCAN.

Unit cell a=3.857 b=3.857 c=8.256 alpha=76.49 beta=76.49 gamma=60.00
Sites, in units of the cell vectors:
1 Te 0.000 0.000 0.000
2 Ca 0.242 0.242 0.274
3 Ca 0.758 0.758 0.726
4 Rh 0.500 0.500 0.500

Summary:
- Density: 5.04 g/cm3
- Raw formation energy: -0.626 eV per atom

8.
ZrCS2: PBEsol geometry, SCAN.

Unit cell a=3.329 b=3.329 c=6.969 alpha=76.18 beta=76.18 gamma=60.00
Sites, in units of the cell vectors:
1 Zr 0.500 0.500 0.500
2 S 0.080 0.080 0.760
3 S 0.920 0.920 0.240
4 C 0.000 0.000 0.000

Summary:
- Density: 4.32 g/cm3
- Raw formation energy: 0.042 eV per atom